Material: Pr10NdHo6
Method: DFT, GGA-PBE
State: optimized geometry

Computed properties:
electronic total energy: -4.58 eV per atom
mass density: 7.110 g cm⁻³
ΔH_f (0 K): 0.131 eV per atom
N(E_F): 1.57 states/eV/atom

Lattice parameters (Å, degrees): 9.9219 9.9219 6.9659 90.00 90.00 120.00
Space group P-31m (No. 162)
Symmetry-distinct sites (fractional):
1 Pr 0.0000 0.2776 0.3195 [6 per cell]
2 Pr 0.3333 0.6667 0.0000 [2 per cell]
3 Pr 0.3333 0.6667 0.5000 [2 per cell]
4 Nd 0.0000 0.0000 0.0000 [1 per cell]
5 Ho 0.0000 0.3684 0.8133 [6 per cell]